Record 1
DFT (PBE-GGA) results for crystalline Zr13Sc3 at its relaxed geometry.

Unit cell a=6.433 b=6.433 c=8.988 alpha=90.00 beta=90.00 gamma=89.89
Element x y z (fractional)
Zr 0.498 0.000 0.251
Zr 0.000 0.502 0.749
Sc 0.001 0.999 0.251
Zr 0.500 0.500 0.749
Zr 0.000 0.502 0.251
Zr 0.252 0.748 0.000
Zr 0.751 0.752 0.500
Zr 0.249 0.751 0.500
Zr 0.248 0.249 0.500
Zr 0.751 0.249 0.500
Sc 0.747 0.253 0.000
Zr 0.498 0.000 0.749
Zr 0.747 0.744 0.000
Zr 0.500 0.500 0.251
Zr 0.256 0.253 0.000
Sc 0.001 0.999 0.749

For the total energy, the calculation gives -129.59 eV per cell. The polymorph energy (0 for the lowest one) is 0.80 eV/f.u. The size of the total moment comes out at 0.00 μB/f.u. The energy of formation comes out at 0.033 eV/atom. As for the volume: 372 Å³/cell. Its density of states at the Fermi level is 26.630 states/eV/f.u.

---

Record 2
DFT (PBE-GGA) results for crystalline Zr3Sc at its relaxed geometry.

Unit cell a=5.637 b=6.080 c=3.240 alpha=74.54 beta=90.00 gamma=117.62
Element x y z (fractional)
Zr 0.082 0.500 0.250
Zr 0.500 0.000 0.500
Zr 0.582 0.500 0.750
Sc 0.003 0.000 0.000

For the total energy, the calculation gives -32.05 eV per cell. The polymorph energy (0 for the lowest one) is 0.05 eV/f.u. The size of the total moment comes out at 0.00 μB/f.u. The energy of formation comes out at -0.017 eV/atom. As for the volume: 94 Å³/cell. Its density of states at the Fermi level is 4.186 states/eV/f.u.

---

Record 3
DFT (PBE-GGA) results for crystalline ZrSc3 at its relaxed geometry.

Unit cell a=5.316 b=5.316 c=5.316 alpha=90.00 beta=90.00 gamma=90.00
Element x y z (fractional)
Sc 0.000 0.500 0.000
Sc 0.500 0.000 0.000
Sc 0.000 0.000 0.500
Zr 0.000 0.000 0.000

For the total energy, the calculation gives -22.62 eV per cell. The polymorph energy (0 for the lowest one) is 4.96 eV/f.u. The size of the total moment comes out at 0.00 μB/f.u. The energy of formation comes out at 1.230 eV/atom. As for the volume: 150 Å³/cell. Its density of states at the Fermi level is 6.123 states/eV/f.u.

---

Record 4
DFT (PBE-GGA) results for crystalline Zr3Sc at its relaxed geometry.

Unit cell a=3.209 b=10.661 c=3.209 alpha=98.66 beta=60.00 gamma=98.66
Element x y z (fractional)
Zr 0.751 0.254 0.751
Zr 0.249 0.746 0.249
Zr 0.500 0.500 0.500
Sc 0.000 0.000 0.000

For the total energy, the calculation gives -31.82 eV per cell. The polymorph energy (0 for the lowest one) is 0.27 eV/f.u. The size of the total moment comes out at 0.00 μB/f.u. The energy of formation comes out at 0.038 eV/atom. As for the volume: 94 Å³/cell. Its density of states at the Fermi level is 5.969 states/eV/f.u.

---

Record 5
DFT (PBE-GGA) results for crystalline ZrSc3 at its relaxed geometry.

Unit cell a=3.222 b=5.578 c=5.625 alpha=99.39 beta=90.00 gamma=106.79
Element x y z (fractional)
Sc 0.498 0.996 0.491
Sc 0.250 0.500 0.750
Zr 0.750 0.500 0.250
Sc 0.002 0.004 0.009

For the total energy, the calculation gives -27.42 eV per cell. The polymorph energy (0 for the lowest one) is 0.16 eV/f.u. The size of the total moment comes out at 0.00 μB/f.u. The energy of formation comes out at 0.030 eV/atom. As for the volume: 95 Å³/cell. Its density of states at the Fermi level is 6.572 states/eV/f.u.

---

Record 6
DFT (PBE-GGA) results for crystalline ZrSc3 at its relaxed geometry.

Unit cell a=3.760 b=3.760 c=6.773 alpha=90.00 beta=90.00 gamma=90.00
Element x y z (fractional)
Zr 0.500 0.500 0.750
Sc 0.500 0.500 0.250
Sc 0.000 0.000 0.512
Sc 0.000 0.000 0.988

For the total energy, the calculation gives -27.10 eV per cell. The polymorph energy (0 for the lowest one) is 0.48 eV/f.u. The size of the total moment comes out at 0.00 μB/f.u. The energy of formation comes out at 0.110 eV/atom. As for the volume: 96 Å³/cell. Its density of states at the Fermi level is 8.339 states/eV/f.u.

---

Record 7
DFT (PBE-GGA) results for crystalline Zr3Sc at its relaxed geometry.

Unit cell a=5.724 b=5.724 c=5.724 alpha=90.00 beta=90.00 gamma=90.00
Element x y z (fractional)
Zr 0.500 0.000 0.750
Zr 0.750 0.500 0.000
Zr 0.000 0.750 0.500
Zr 0.500 0.000 0.250
Sc 0.500 0.500 0.500
Sc 0.000 0.000 0.000
Zr 0.250 0.500 0.000
Zr 0.000 0.250 0.500

For the total energy, the calculation gives -62.36 eV per cell. The polymorph energy (0 for the lowest one) is 0.91 eV/f.u. The size of the total moment comes out at 1.96 μB/f.u. The energy of formation comes out at 0.199 eV/atom. As for the volume: 188 Å³/cell. Its density of states at the Fermi level is 9.883 states/eV/f.u.

---

Record 8
DFT (PBE-GGA) results for crystalline ZrSc2 at its relaxed geometry.

Unit cell a=5.760 b=5.760 c=5.760 alpha=106.86 beta=106.86 gamma=114.82
Element x y z (fractional)
Sc 0.660 0.840 0.500
Sc 0.340 0.160 0.500
Zr 0.750 0.750 0.000
Sc 0.840 0.340 0.181
Sc 0.160 0.660 0.819
Zr 0.250 0.250 0.000

For the total energy, the calculation gives -41.15 eV per cell. The size of the total moment comes out at 0.00 μB/f.u. The energy of formation comes out at 0.213 eV/atom. As for the volume: 146 Å³/cell. Its density of states at the Fermi level is 4.057 states/eV/f.u.

---

Record 9
DFT (PBE-GGA) results for crystalline Zr3Sc at its relaxed geometry.

Unit cell a=5.592 b=10.314 c=6.486 alpha=90.00 beta=90.00 gamma=90.00
Element x y z (fractional)
Zr 0.422 0.250 0.631
Sc 0.911 0.250 0.376
Zr 0.750 0.502 0.622
Zr 0.078 0.750 0.131
Zr 0.250 0.498 0.378
Zr 0.578 0.750 0.369
Zr 0.250 0.998 0.878
Sc 0.589 0.750 0.876
Zr 0.750 0.998 0.622
Zr 0.750 0.498 0.122
Sc 0.089 0.750 0.624
Zr 0.750 0.002 0.122
Zr 0.250 0.002 0.378
Zr 0.250 0.502 0.878
Zr 0.922 0.250 0.869
Sc 0.411 0.250 0.124

For the total energy, the calculation gives -127.73 eV per cell. The polymorph energy (0 for the lowest one) is 0.16 eV/f.u. The size of the total moment comes out at 0.00 μB/f.u. The energy of formation comes out at 0.011 eV/atom. As for the volume: 374 Å³/cell. Its density of states at the Fermi level is 5.317 states/eV/f.u.

---

Record 10
DFT (PBE-GGA) results for crystalline ZrSc3 at its relaxed geometry.

Unit cell a=4.563 b=4.563 c=4.563 alpha=90.00 beta=90.00 gamma=90.00
Element x y z (fractional)
Sc 0.500 0.000 0.500
Sc 0.000 0.000 0.000
Zr 0.500 0.500 0.000
Sc 0.000 0.500 0.500

For the total energy, the calculation gives -27.41 eV per cell. The polymorph energy (0 for the lowest one) is 0.17 eV/f.u. The size of the total moment comes out at 0.00 μB/f.u. The energy of formation comes out at 0.033 eV/atom. As for the volume: 95 Å³/cell. Its density of states at the Fermi level is 7.033 states/eV/f.u.

---

Record 11
DFT (PBE-GGA) results for crystalline ZrSc3 at its relaxed geometry.

Unit cell a=6.342 b=6.342 c=4.924 alpha=90.00 beta=90.00 gamma=73.70
Element x y z (fractional)
Sc 0.892 0.315 0.250
Sc 0.108 0.685 0.750
Zr 0.607 0.607 0.750
Sc 0.822 0.822 0.250
Sc 0.315 0.892 0.250
Sc 0.685 0.108 0.750
Sc 0.178 0.178 0.750
Zr 0.393 0.393 0.250

For the total energy, the calculation gives -54.73 eV per cell. The polymorph energy (0 for the lowest one) is 0.22 eV/f.u. The size of the total moment comes out at 0.00 μB/f.u. The energy of formation comes out at 0.045 eV/atom. As for the volume: 190 Å³/cell. Its density of states at the Fermi level is 5.992 states/eV/f.u.

---

Record 12
DFT (PBE-GGA) results for crystalline ZrSc2 at its relaxed geometry.

Unit cell a=8.738 b=8.738 c=3.218 alpha=90.00 beta=90.00 gamma=120.00
Element x y z (fractional)
Sc 0.644 0.000 0.500
Zr 0.667 0.333 0.000
Sc 0.356 0.356 0.500
Zr 0.333 0.667 0.000
Sc 0.000 0.307 0.000
Sc 0.000 0.644 0.500
Sc 0.307 0.000 0.000
Zr 0.000 0.000 0.500
Sc 0.693 0.693 0.000

For the total energy, the calculation gives -63.42 eV per cell. The size of the total moment comes out at 0.00 μB/f.u. The energy of formation comes out at 0.024 eV/atom. As for the volume: 213 Å³/cell. Its density of states at the Fermi level is 6.269 states/eV/f.u.

---

Record 13
DFT (PBE-GGA) results for crystalline ZrSc2 at its relaxed geometry.

Unit cell a=5.945 b=5.945 c=5.945 alpha=60.00 beta=60.00 gamma=60.00
Element x y z (fractional)
Sc 0.625 0.625 0.625
Sc 0.625 0.625 0.125
Sc 0.625 0.125 0.625
Zr 0.250 0.250 0.250
Zr 0.000 0.000 0.000
Sc 0.125 0.625 0.625

For the total energy, the calculation gives -40.39 eV per cell. The size of the total moment comes out at 2.99 μB/f.u. The energy of formation comes out at 0.338 eV/atom. As for the volume: 149 Å³/cell. Its density of states at the Fermi level is 4.330 states/eV/f.u.

---

Record 14
DFT (PBE-GGA) results for crystalline Zr3Sc at its relaxed geometry.

Unit cell a=5.066 b=5.066 c=5.066 alpha=60.00 beta=60.00 gamma=60.00
Element x y z (fractional)
Sc 0.000 0.000 0.000
Zr 0.500 0.500 0.500
Zr 0.750 0.750 0.750
Zr 0.250 0.250 0.250

For the total energy, the calculation gives -31.57 eV per cell. The polymorph energy (0 for the lowest one) is 0.53 eV/f.u. The size of the total moment comes out at 0.00 μB/f.u. The energy of formation comes out at 0.102 eV/atom. As for the volume: 92 Å³/cell. Its density of states at the Fermi level is 6.713 states/eV/f.u.

---

Record 15
DFT (PBE-GGA) results for crystalline Zr5Sc at its relaxed geometry.

Unit cell a=4.491 b=4.534 c=7.217 alpha=108.31 beta=90.00 gamma=90.00
Element x y z (fractional)
Zr 0.000 0.667 0.335
Zr 0.500 0.500 0.000
Zr 0.500 0.166 0.333
Sc 0.000 0.000 0.000
Zr 0.000 0.333 0.665
Zr 0.500 0.834 0.667

For the total energy, the calculation gives -48.89 eV per cell. The size of the total moment comes out at 0.00 μB/f.u. The energy of formation comes out at 0.030 eV/atom. As for the volume: 139 Å³/cell. Its density of states at the Fermi level is 8.329 states/eV/f.u.

---

Record 16
DFT (PBE-GGA) results for crystalline Zr2Sc3 at its relaxed geometry.

Unit cell a=3.140 b=5.586 c=14.253 alpha=88.23 beta=83.68 gamma=73.68
Element x y z (fractional)
Sc 0.321 0.081 0.197
Sc 0.731 0.500 0.500
Zr 0.362 0.466 0.907
Zr 0.736 0.534 0.093
Sc 0.981 0.000 0.000
Sc 0.269 0.581 0.303
Sc 0.152 0.419 0.697
Zr 0.019 0.966 0.593
Zr 0.578 0.034 0.407
Sc 0.600 0.919 0.803

For the total energy, the calculation gives -71.43 eV per cell. The polymorph energy (0 for the lowest one) is 0.30 eV/f.u. The size of the total moment comes out at 0.00 μB/f.u. The energy of formation comes out at 0.075 eV/atom. As for the volume: 238 Å³/cell. Its density of states at the Fermi level is 7.090 states/eV/f.u.

---

Record 17
DFT (PBE-GGA) results for crystalline Zr7Sc at its relaxed geometry.

Unit cell a=6.406 b=6.406 c=6.406 alpha=60.00 beta=60.00 gamma=60.00
Element x y z (fractional)
Sc 0.000 0.000 0.000
Zr 0.500 0.500 0.500
Zr 0.000 0.500 0.500
Zr 0.500 0.000 0.000
Zr 0.000 0.000 0.500
Zr 0.500 0.000 0.500
Zr 0.000 0.500 0.000
Zr 0.500 0.500 0.000

For the total energy, the calculation gives -65.89 eV per cell. The polymorph energy (0 for the lowest one) is 0.30 eV/f.u. The size of the total moment comes out at 0.00 μB/f.u. The energy of formation comes out at 0.035 eV/atom. As for the volume: 186 Å³/cell. Its density of states at the Fermi level is 11.559 states/eV/f.u.

---

Record 18
DFT (PBE-GGA) results for crystalline Zr3Sc13 at its relaxed geometry.

Unit cell a=6.516 b=6.516 c=9.042 alpha=90.00 beta=90.00 gamma=89.73
Element x y z (fractional)
Sc 0.998 0.497 0.247
Sc 0.243 0.245 0.500
Zr 0.996 0.004 0.247
Sc 0.755 0.757 0.500
Sc 0.503 0.497 0.753
Sc 0.757 0.243 0.500
Sc 0.503 0.497 0.247
Sc 0.242 0.758 0.000
Sc 0.755 0.754 0.000
Zr 0.996 0.004 0.753
Sc 0.245 0.755 0.500
Sc 0.998 0.497 0.753
Sc 0.503 0.002 0.247
Zr 0.758 0.242 0.000
Sc 0.503 0.002 0.753
Sc 0.246 0.245 0.000

For the total energy, the calculation gives -107.51 eV per cell. The size of the total moment comes out at 0.00 μB/f.u. The energy of formation comes out at 0.028 eV/atom. As for the volume: 384 Å³/cell. Its density of states at the Fermi level is 26.522 states/eV/f.u.

---

Record 19
DFT (PBE-GGA) results for crystalline ZrSc2 at its relaxed geometry.

Unit cell a=3.057 b=5.383 c=5.383 alpha=59.96 beta=73.50 gamma=73.50
Element x y z (fractional)
Zr 0.000 0.000 0.000
Sc 0.814 0.686 0.686
Sc 0.186 0.314 0.314

For the total energy, the calculation gives -20.67 eV per cell. The size of the total moment comes out at 0.00 μB/f.u. The energy of formation comes out at 0.179 eV/atom. As for the volume: 72 Å³/cell. Its density of states at the Fermi level is 4.928 states/eV/f.u.

---

Record 20
DFT (PBE-GGA) results for crystalline ZrSc3 at its relaxed geometry.

Unit cell a=4.578 b=4.578 c=5.564 alpha=114.29 beta=114.29 gamma=90.00
Element x y z (fractional)
Sc 0.500 0.500 0.000
Sc 0.750 0.250 0.500
Zr 0.000 0.000 0.000
Sc 0.250 0.750 0.500

For the total energy, the calculation gives -27.45 eV per cell. The polymorph energy (0 for the lowest one) is 0.14 eV/f.u. The size of the total moment comes out at 0.00 μB/f.u. The energy of formation comes out at 0.024 eV/atom. As for the volume: 95 Å³/cell. Its density of states at the Fermi level is 6.619 states/eV/f.u.